NaAgO2: relaxed, PBE.

The calculation puts the raw total energy at -65.55 eV per cell.

The structure belongs to space group C2/c (No. 15); the cell edges are 6.488, 6.495 and 5.576 Å and the angles 90.00°, 125.56° and 90.00°. The asymmetric unit holds Na at (0.000, 0.126, 0.250), Ag at (0.000, 0.375, 0.750) and O at (0.229, 0.376, 0.206).



SmDyAu: relaxed, PBE.

The magnetic moment comes out at 0.01 μB per cell. The calculation puts the energy above the lowest structure with this stoichiometry at 0.000 eV/atom. The calculation puts the raw total energy at -57.72 eV per cell. The value obtained for the formation energy is -0.62 eV per atom.

The structure belongs to space group Pnma (No. 62); the cell edges are 7.201, 4.997 and 9.000 Å and the angles 90.00°, 90.00° and 90.00°. The asymmetric unit holds Sm at (0.012, 0.250, 0.177), Dy at (0.150, 0.250, 0.582) and Au at (0.248, 0.250, 0.902).



TbHoPt: relaxed, PBE.

The magnetic moment comes out at 0.04 μB per cell. The calculation puts the raw total energy at -69.18 eV per cell. The value obtained for the formation energy is -0.68 eV per atom.

The structure belongs to space group Cmc2_1 (No. 36); the cell edges are 3.666, 13.033 and 6.728 Å and the angles 90.00°, 90.00° and 90.00°. The asymmetric unit holds Tb at (0.000, 0.161, 0.000), Ho at (0.000, 0.098, 0.496) and Pt at (0.000, 0.471, 0.282).



ErSiH2O4: relaxed, PBE.

The magnetic moment comes out at 3.83 μB per cell. The calculation puts the energy above the lowest structure with this stoichiometry at 0.000 eV/atom. The calculation puts the raw total energy at -210.70 eV per cell.

The structure belongs to space group P2_1/c (No. 14); the cell edges are 4.783, 6.587 and 11.304 Å and the angles 90.00°, 106.64° and 90.00°. The asymmetric unit holds Er at (0.001, 0.246, 0.326), Si at (0.270, 0.235, 0.105), H at (0.352, 0.742, 0.498), H at (0.466, 0.015, 0.745), O at (0.065, 0.743, 0.992), O at (0.216, 0.047, 0.201), O at (0.251, 0.057, 0.702) and O at (0.413, 0.236, 0.982).